## TcSbMo (GGA-PBE)

Data for a relaxed TcSbMo crystal.

Properties
Energy relative to the lowest polymorph listed for this composition, eV/atom: 0.182
Energy relative to the elements, uncorrected, meV per atom: 266

Cell and atoms, written as POSCAR:
```
TcSbMo
1.0
-2.442 -0.787 -3.661
4.435 0.463 -0.328
0.336 -2.935 0.407
Tc Mo Sb
1 1 1
Direct
0.333 0.667 0.500
0.000 0.000 0.000
0.667 0.333 0.500
```